Here is a relaxed structure of SrIn from the Alexandria database. Energies are from PBE.

Calculated values
Energy relative to the elements = -0.230 eV/atom
Space-group type = Fddd (70)

a = 6.3726 Å, b = 17.1516 Å, c = 10.4686 Å
α = 90.00°, β = 90.00°, γ = 90.00°
Sites, in units of the cell vectors:
1 Sr 0.0000 0.0000 0.6707
2 Sr 0.0000 0.0000 0.3293
3 Sr 0.2500 0.7500 0.5793
4 Sr 0.2500 0.7500 0.9207
5 Sr 0.0000 0.5000 0.1707
6 Sr 0.0000 0.5000 0.8293
7 Sr 0.2500 0.2500 0.0793
8 Sr 0.2500 0.2500 0.4207
9 Sr 0.5000 0.0000 0.1707
10 Sr 0.5000 0.0000 0.8293
11 Sr 0.7500 0.7500 0.0793
12 Sr 0.7500 0.7500 0.4207
13 Sr 0.5000 0.5000 0.6707
14 Sr 0.5000 0.5000 0.3293
15 Sr 0.7500 0.2500 0.5793
16 Sr 0.7500 0.2500 0.9207
17 In 0.0000 0.0828 0.0000
18 In 0.0000 0.9172 0.0000
19 In 0.2500 0.6672 0.2500
20 In 0.2500 0.8328 0.2500
21 In 0.0000 0.5828 0.5000
22 In 0.0000 0.4172 0.5000
23 In 0.2500 0.1672 0.7500
24 In 0.2500 0.3328 0.7500
25 In 0.5000 0.0828 0.5000
26 In 0.5000 0.9172 0.5000
27 In 0.7500 0.6672 0.7500
28 In 0.7500 0.8328 0.7500
29 In 0.5000 0.5828 0.0000
30 In 0.5000 0.4172 0.0000
31 In 0.7500 0.1672 0.2500
32 In 0.7500 0.3328 0.2500



Here is a relaxed structure of CsTeBr2 from the Alexandria database. Energies are from PBE.

Calculated values
Formation energy (no corrections) = -0.5005 eV/atom
Space-group type = Fm-3m (225)
Energy relative to the lowest polymorph listed for this composition = 1.021 eV per formula unit

a = 6.0018 Å, b = 6.0018 Å, c = 6.0018 Å
α = 60.00°, β = 60.00°, γ = 60.00°
Sites, in units of the cell vectors:
1 Cs 0.5000 0.5000 0.5000
2 Te 0.0000 0.0000 0.0000
3 Br 0.2500 0.2500 0.2500
4 Br 0.7500 0.7500 0.7500



Here is a relaxed structure of Cs3Sc3SnS8 from the Alexandria database. Energies are from PBE.

Calculated values
Formation energy (no corrections) = -1.4517 eV/atom
Space-group type = R-3m (166)

a = 7.6738 Å, b = 7.6753 Å, c = 9.2870 Å
α = 114.44°, β = 90.00°, γ = 119.99°
Sites, in units of the cell vectors:
1 Cs 0.0000 0.0000 0.0000
2 Cs 0.0000 0.5000 0.0000
3 Cs 0.5000 0.5000 0.0000
4 Sc 0.5000 0.0000 0.5000
5 Sc 0.5000 0.5000 0.5000
6 Sc 0.0000 0.5000 0.5000
7 Sn 0.0000 0.0000 0.5000
8 S 0.2763 0.5527 0.3292
9 S 0.7237 0.4473 0.6708
10 S 0.7761 0.5521 0.3270
11 S 0.2239 0.4479 0.6730
12 S 0.7761 0.0507 0.3270
13 S 0.2239 0.9493 0.6730
14 S 0.2746 0.0507 0.3270
15 S 0.7254 0.9493 0.6730